## w
A plane-wave DFT calculation with PBE was carried out for Ba after structural relaxation.

Results
Its space-group type is Fmmm, No. 69. As for the density of states at the Fermi level: 1.43 states/eV/f.u.

POSCAR file:
```
Ba
1.0
8.543 0.000 0.000
-5.421 6.603 0.000
0.000 0.000 4.483
Ba
4
Cartesian
6.731 0.857 0.000
-3.609 5.746 0.000
-0.251 4.158 2.242
3.373 2.445 2.242
```

---

## x
A plane-wave DFT calculation with PBE was carried out for Ba after structural relaxation.

Results
Its space-group type is I4/mmm, No. 139. As for the density of states at the Fermi level: 1.28 states/eV/f.u.

POSCAR file:
```
Ba
1.0
4.337 0.134 0.000
-1.579 4.041 0.000
-1.379 -2.087 3.545
Ba
1
Cartesian
0.000 0.000 0.000
```

---

x is preferred energetically. Next in line: 0.111 eV/atom higher.

---

## w
A plane-wave DFT calculation with PBE was carried out for Ba after structural relaxation.

Results
Its space-group type is I4/m, No. 87. As for the density of states at the Fermi level: 1.83 states/eV/f.u.

POSCAR file:
```
Ba
1.0
15.335 0.000 0.000
0.000 15.335 0.000
0.000 0.000 4.468
Ba
16
Cartesian
5.236 14.574 0.000
10.099 0.761 0.000
0.761 5.236 0.000
14.574 10.099 0.000
12.904 6.906 2.234
2.431 8.429 2.234
8.429 12.904 2.234
6.906 2.431 2.234
5.101 5.682 0.000
10.234 9.653 0.000
9.653 5.101 0.000
5.682 10.234 0.000
12.768 13.349 2.234
2.567 1.986 2.234
1.986 12.768 2.234
13.349 2.567 2.234
```

---

## x
A plane-wave DFT calculation with PBE was carried out for Ba after structural relaxation.

Results
Its space-group type is P6_3/mmc, No. 194. As for the density of states at the Fermi level: 0.94 states/eV/f.u.

POSCAR file:
```
Ba
1.0
-2.825 -3.453 -0.467
4.421 -0.652 -0.385
0.862 -2.647 14.361
Ba
4
Cartesian
0.000 0.000 0.000
0.237 -4.504 10.331
0.431 -1.323 7.181
2.221 -2.247 3.178
```

---

x is preferred energetically. Next in line: 0.081 eV/atom higher.

---

## w
A plane-wave DFT calculation with PBE was carried out for Ba after structural relaxation.

Results
Its space-group type is Pm-3m, No. 221. As for the density of states at the Fermi level: 0.73 states/eV/f.u.

POSCAR file:
```
Ba
1.0
3.948 0.000 0.000
0.000 3.948 0.000
0.000 0.000 3.948
Ba
1
Cartesian
0.000 0.000 0.000
```

---

## x
A plane-wave DFT calculation with PBE was carried out for Ba after structural relaxation.

Results
Its space-group type is P6_3/mmc, No. 194. As for the density of states at the Fermi level: 1.54 states/eV/f.u.

POSCAR file:
```
Ba
1.0
4.341 0.000 0.000
-2.171 3.759 0.000
0.000 0.000 15.421
Ba
4
Cartesian
0.000 2.506 1.862
2.171 1.253 9.572
2.171 1.253 13.559
0.000 2.506 5.849
```

---

## y
A plane-wave DFT calculation with PBE was carried out for Ba after structural relaxation.

Results
Its space-group type is P6/mmm, No. 191. As for the density of states at the Fermi level: 0.71 states/eV/f.u.

POSCAR file:
```
Ba
1.0
4.253 -0.001 0.000
-2.125 3.684 0.000
0.000 0.000 3.956
Ba
1
Cartesian
0.000 0.000 0.000
```

---

x is preferred energetically. Next in line: 0.067 eV/atom higher.

---

## w
A plane-wave DFT calculation with PBE was carried out for Ba after structural relaxation.

Results
Its space-group type is P2_1/m, No. 11. As for the density of states at the Fermi level: 1.72 states/eV/f.u.

POSCAR file:
```
Ba
1.0
-1.715 2.134 3.493
2.652 -5.168 4.460
4.141 0.974 -1.333
Ba
2
Cartesian
2.929 0.937 2.351
2.149 -2.997 4.269
```

---

## x
A plane-wave DFT calculation with PBE was carried out for Ba after structural relaxation.

Results
Its space-group type is I4/mcm, No. 140. As for the density of states at the Fermi level: 0.91 states/eV/f.u.

POSCAR file:
```
Ba
1.0
-1.676 -6.189 2.682
6.644 1.815 0.934
-3.895 4.757 3.241
Ba
4
Cartesian
4.357 0.190 2.110
-3.285 0.193 4.746
1.169 -1.488 4.460
-0.097 1.871 2.396
```

---

w is preferred energetically. Next in line: 0.123 eV/atom higher.

---

## w
A plane-wave DFT calculation with PBE was carried out for BaBe3 after structural relaxation.

Results
Its space-group type is Cmcm, No. 63. As for the density of states at the Fermi level: 1.90 states/eV/f.u.

POSCAR file:
```
BaBe3
1.0
4.938 5.401 -0.863
-6.057 1.119 4.045
1.750 -1.131 2.933
Ba Be
2 6
Cartesian
-1.082 1.697 4.610
1.713 3.692 1.505
4.330 4.711 0.337
-3.699 0.677 5.779
-0.003 5.508 3.230
0.634 -0.120 2.886
0.797 0.850 0.956
-0.166 4.538 5.160
```

---

## x
A plane-wave DFT calculation with PBE was carried out for BaBe3 after structural relaxation.

Results
Its space-group type is P2/m, No. 10. As for the density of states at the Fermi level: 0.90 states/eV/f.u.

POSCAR file:
```
BaBe3
1.0
3.928 0.000 0.000
0.000 4.112 -0.002
0.000 0.017 5.158
Be Ba
3 1
Cartesian
1.964 3.043 2.582
0.000 2.064 2.578
1.964 1.086 2.574
0.000 0.000 0.000
```

---

## y
A plane-wave DFT calculation with PBE was carried out for BaBe3 after structural relaxation.

Results
Its space-group type is Pm-3m, No. 221. As for the density of states at the Fermi level: 6.75 states/eV/f.u.

POSCAR file:
```
BaBe3
1.0
-6.172 -1.840 -1.112
1.232 -5.797 2.756
-1.762 2.393 5.821
Be Ba
3 1
Cartesian
-3.086 -0.920 -0.556
0.616 -2.898 1.378
-0.881 1.196 2.910
0.000 0.000 0.000
```

---

## z
A plane-wave DFT calculation with PBE was carried out for BaBe3 after structural relaxation.

Results
Its space-group type is R-3m, No. 166. As for the density of states at the Fermi level: 2.10 states/eV/f.u.

POSCAR file:
```
BaBe3
1.0
-0.285 2.247 5.840
1.066 -1.295 6.035
3.364 1.561 5.048
Be Ba
3 1
Cartesian
3.413 2.068 13.930
2.073 1.256 8.461
0.733 0.444 2.992
0.000 0.000 0.000
```

---

z is preferred energetically. Next in line: 0.223 eV/atom higher.

---

## w
A plane-wave DFT calculation with PBE was carried out for BaBe3 after structural relaxation.

Results
Its space-group type is Fm-3m, No. 225. As for the density of states at the Fermi level: 2.22 states/eV/f.u.

POSCAR file:
```
BaBe3
1.0
-0.612 -4.523 -1.300
1.838 -3.495 2.632
-2.859 -2.827 2.521
Be Ba
3 1
Cartesian
-0.408 -2.711 0.963
-0.817 -5.422 1.927
-1.225 -8.133 2.890
0.000 0.000 0.000
```

---

## x
A plane-wave DFT calculation with PBE was carried out for BaBe3 after structural relaxation.

Results
Its space-group type is C2/m, No. 12. As for the density of states at the Fermi level: 2.50 states/eV/f.u.

POSCAR file:
```
BaBe3
1.0
-0.939 4.626 -3.831
-4.923 -3.544 -0.403
2.614 2.141 3.240
Be Ba
3 1
Cartesian
-2.791 1.105 -2.166
0.194 4.092 -0.911
-3.162 0.259 -0.181
0.140 0.564 -0.049
```

---

## y
A plane-wave DFT calculation with PBE was carried out for BaBe3 after structural relaxation.

Results
Its space-group type is P6_3/mmc, No. 194. As for the density of states at the Fermi level: 2.32 states/eV/f.u.

POSCAR file:
```
BaBe3
1.0
4.131 1.968 -5.366
-6.603 -2.147 -1.236
-1.166 3.386 0.344
Ba Be
2 6
Cartesian
-3.316 0.071 -2.527
-0.321 3.136 -3.731
-1.845 0.903 -5.723
-0.123 1.028 -1.125
2.754 2.398 -4.862
-1.792 2.304 -0.535
-3.514 2.180 -5.133
-6.391 0.809 -1.396
```

---

y is preferred energetically. Next in line: 0.327 eV/atom higher.